No. 1
The following is a PBE calculation of an optimized crystal structure of LiAlPd5, from Alexandria via LeMat-Bulk.

The structure in POSCAR format:
```
LiAlPd5
1.0
4.075 0.000 0.000
0.000 4.075 0.000
0.000 0.000 6.603
Li Al Pd
1 1 5
Cartesian
0.000 0.000 0.000
2.038 2.038 3.301
0.000 2.038 1.853
0.000 2.038 4.750
2.038 0.000 1.853
2.038 0.000 4.750
2.038 2.038 0.000
```

Values from the calculation:
**E above lowest polymorph**: 0.00 kcal/mol of atoms
**Energy relative to the elements**: -393.4 meV per atom
**DOS at the Fermi energy**: 0.942 states/eV/atom
**Total energy**: -4.9106 eV/atom

---

No. 2
The following is a PBE calculation of an optimized crystal structure of LiAlPd2, from Alexandria via LeMat-Bulk.

The structure in POSCAR format:
```
LiAlPd2
1.0
-3.323 3.323 2.800
3.323 -3.323 2.800
3.323 3.323 -2.800
Li Al Pd
2 2 4
Cartesian
0.000 0.000 0.000
0.000 3.323 1.400
3.323 0.000 1.400
0.000 0.000 2.800
1.661 -1.615 2.100
1.707 1.661 0.700
1.661 4.938 -0.700
1.615 1.661 3.500
```

Values from the calculation:
**Energy relative to the elements**: -422.9 meV per atom
**DOS at the Fermi energy**: 0.167 states/eV/atom
**Total energy**: -4.4334 eV/atom

---

No. 3
The following is a PBE calculation of an optimized crystal structure of Li3AlPd6, from Alexandria via LeMat-Bulk.

The structure in POSCAR format:
```
Li3AlPd6
1.0
7.382 0.000 0.000
0.000 4.335 0.000
-2.591 0.000 8.824
Li Al Pd
6 2 12
Cartesian
-0.734 1.084 3.457
0.509 3.251 1.739
-0.590 1.084 8.648
5.381 3.251 0.176
4.283 1.084 7.085
5.525 3.251 5.367
1.693 1.084 5.357
3.098 3.251 3.467
-2.079 3.251 7.976
-0.743 1.084 6.007
0.636 3.251 4.342
0.472 3.251 7.092
1.769 1.084 2.720
2.862 3.251 0.978
1.930 1.084 7.846
3.023 3.251 6.104
4.319 1.084 1.732
4.155 1.084 4.482
5.534 3.251 2.817
6.871 1.084 0.848
```

Values from the calculation:
**E above lowest polymorph**: 0.00 kcal/mol of atoms
**Energy relative to the elements**: -505.3 meV per atom
**DOS at the Fermi energy**: 0.271 states/eV/atom
**Total energy**: -4.5694 eV/atom

---

No. 4
The following is a PBE calculation of an optimized crystal structure of LiAl3Pd, from Alexandria via LeMat-Bulk.

The structure in POSCAR format:
```
LiAl3Pd
1.0
4.758 0.000 0.000
0.000 4.758 0.000
0.000 0.000 4.758
Li Al Pd
1 3 1
Cartesian
0.000 0.000 0.000
0.000 2.379 2.379
2.379 0.000 2.379
2.379 2.379 0.000
2.379 2.379 2.379
```

Values from the calculation:
**E above lowest polymorph**: 7.78 kcal/mol of atoms
**Energy relative to the elements**: -59.4 meV per atom
**DOS at the Fermi energy**: 0.433 states/eV/atom
**Total energy**: -3.7262 eV/atom

---

No. 5
The following is a PBE calculation of an optimized crystal structure of Li2Al5Pd3, from Alexandria via LeMat-Bulk.

The structure in POSCAR format:
```
Li2Al5Pd3
1.0
4.645 -6.186 0.000
4.645 6.186 0.000
-0.510 0.000 5.364
Li Al Pd
4 10 6
Cartesian
3.044 3.208 4.758
5.482 3.208 3.288
3.299 -3.208 2.076
5.737 -3.208 0.606
4.263 5.747 4.023
3.267 1.944 2.185
1.941 0.562 5.292
2.197 -0.562 2.611
5.769 1.944 0.497
3.011 -1.944 4.867
6.584 0.562 2.753
6.839 -0.562 0.071
5.514 -1.944 3.179
4.518 -5.747 1.341
3.219 4.449 2.071
5.817 4.449 0.611
4.263 0.362 4.023
4.518 -0.362 1.341
2.964 -4.449 4.753
5.562 -4.449 3.293
```

Values from the calculation:
**Energy relative to the elements**: -570.4 meV per atom
**DOS at the Fermi energy**: 0.298 states/eV/atom
**Total energy**: -4.3823 eV/atom

---

No. 6
The following is a PBE calculation of an optimized crystal structure of LiAlPd2, from Alexandria via LeMat-Bulk.

The structure in POSCAR format:
```
LiAlPd2
1.0
4.344 0.000 0.000
0.000 4.344 0.000
0.000 0.000 2.933
Li Al Pd
1 1 2
Cartesian
0.000 0.000 0.000
2.172 2.172 0.000
0.000 2.172 1.466
2.172 0.000 1.466
```

Values from the calculation:
**Energy relative to the elements**: -777.8 meV per atom
**DOS at the Fermi energy**: 0.383 states/eV/atom
**Total energy**: -4.7884 eV/atom

---

Question: The highest energy relative to the elements belongs to which entry?
Answer: LiAl3Pd